DFT (GGA-PBEsol) results for a relaxed structure of CoAgTe2.

Cell lengths 4.8762, 4.8762, 4.8762 Å; angles 60.00, 60.00, 60.00 degrees
With the nearest neighbours (Å) after each atom.
Positions (direct):
Te 0.7500 0.7500 0.7500  4 Ag 2.99, 4 Te 2.99
Te 0.0000 0.0000 0.0000  4 Co 2.99, 4 Te 2.99
Co 0.2500 0.2500 0.2500  4 Te 2.99, 4 Ag 2.99
Ag 0.5000 0.5000 0.5000  4 Co 2.99, 4 Te 2.99

Values from the calculation:
The energy relative to the elements, uncorrected is 0.76 eV/atom. Its space group is F-43m.

=====

DFT (GGA-PBEsol) results for a relaxed structure of CoAgTe2.

Cell lengths 6.0764, 6.0764, 6.9752 Å; angles 115.82, 115.82, 90.00 degrees
With the nearest neighbours (Å) after each atom.
Positions (direct):
Co 0.7500 0.2500 0.5000  4 Te 2.39
Co 0.5000 0.5000 0.0000  4 Te 2.39
Te 0.4227 0.8750 0.2500  2 Co 2.39
Te 0.6250 0.5773 0.7500  2 Co 2.39
Te 0.8273 0.3750 0.2500  2 Co 2.39
Te 0.1250 0.1727 0.7500  2 Co 2.39
Ag 0.0000 0.0000 0.0000  4 Te 2.73
Ag 0.2500 0.7500 0.5000  4 Te 2.73

Values from the calculation:
The energy relative to the elements, uncorrected is 0.10 eV/atom. Its space group is I-42d.

=====

DFT (GGA-PBEsol) results for a relaxed structure of TlCo2Ag.

Cell lengths 2.8957, 2.8957, 8.5601 Å; angles 80.26, 80.26, 60.00 degrees
With the nearest neighbours (Å) after each atom.
Positions (direct):
Ag 0.0000 0.0000 0.0000  6 Co 2.65, 6 Ag 2.90
Co 0.2515 0.2515 0.2455  3 Ag 2.65, 3 Tl 2.71, 6 Co 2.90
Co 0.7485 0.7485 0.7545  3 Ag 2.65, 3 Tl 2.71, 6 Co 2.90
Tl 0.5000 0.5000 0.5000  6 Co 2.71, 6 Tl 2.90

Values from the calculation:
The formation energy from the elements comes out at 696.7 meV per atom. Its space group is R-3m. The calculation puts the energy above the most stable polymorph in this dataset at 161.0 meV per atom.

=====

DFT (GGA-PBEsol) results for a relaxed structure of TlCo2Ag.

Cell lengths 2.9019, 2.9019, 8.8159 Å; angles 80.53, 80.53, 60.00 degrees
With the nearest neighbours (Å) after each atom.
Positions (direct):
Tl 0.4929 0.4929 0.5214  3 Co 2.85, 6 Tl 2.90, 3 Ag 3.11
Co 0.0092 0.0092 0.9725  3 Co 2.32
Co 0.7376 0.7376 0.7873  3 Co 2.32
Ag 0.2604 0.2604 0.2188  3 Co 2.71, 6 Ag 2.90

Values from the calculation:
The formation energy from the elements comes out at 535.7 meV per atom. Its space group is R3m. The calculation puts the energy above the most stable polymorph in this dataset at 0.0 meV per atom.

=====

DFT (GGA-PBEsol) results for a relaxed structure of Co2Ag2W.

Cell lengths 3.5033, 3.5033, 6.4623 Å; angles 105.73, 105.73, 90.00 degrees
With the nearest neighbours (Å) after each atom.
Positions (direct):
Ag 0.2500 0.7500 0.5000  4 Ag 2.48, 4 Co 2.60
Ag 0.7500 0.2500 0.5000  4 Ag 2.48, 4 Co 2.60
Co 0.5892 0.5892 0.1785  1 Co 2.13
Co 0.4108 0.4108 0.8215  1 Co 2.13
W 0.0000 0.0000 0.0000  8 Co 2.70

Values from the calculation:
The formation energy from the elements comes out at 898.0 meV per atom. Its space group is I4/mmm.

=====

DFT (GGA-PBEsol) results for a relaxed structure of Co2AgW.

Cell lengths 3.2340, 3.9736, 3.9736 Å; angles 90.00, 90.00, 90.00 degrees
With the nearest neighbours (Å) after each atom.
Positions (direct):
Co 0.0000 0.5000 0.0000  4 W 2.56, 4 Ag 2.56, 4 Co 2.81
Co 0.0000 0.0000 0.5000  4 W 2.56, 4 Ag 2.56, 4 Co 2.81
Ag 0.5000 0.0000 0.0000  8 Co 2.56, 4 W 2.81
W 0.5000 0.5000 0.5000  8 Co 2.56, 4 Ag 2.81

Values from the calculation:
The formation energy from the elements comes out at 429.4 meV per atom. Its space group is P4/mmm. The calculation puts the energy above the most stable polymorph in this dataset at 34.7 meV per atom.

=====

DFT (GGA-PBEsol) results for a relaxed structure of CoAgW3.

Cell lengths 4.4133, 4.4133, 4.4133 Å; angles 90.00, 90.00, 90.00 degrees
With the nearest neighbours (Å) after each atom.
Positions (direct):
Co 0.0000 0.0000 0.0000  6 W 2.21
W 0.0000 0.5000 0.0000  2 Co 2.21
W 0.0000 0.0000 0.5000  2 Co 2.21
W 0.5000 0.0000 0.0000  2 Co 2.21
Ag 0.5000 0.5000 0.5000  12 W 3.12

Values from the calculation:
The formation energy from the elements comes out at 1496.3 meV per atom. Its space group is Pm-3m.

=====

DFT (GGA-PBEsol) results for a relaxed structure of Co2AgW.

Cell lengths 2.7103, 4.2923, 4.6308 Å; angles 90.00, 90.00, 90.00 degrees
With the nearest neighbours (Å) after each atom.
Positions (direct):
Co 0.0000 0.0000 0.0000  4 W 2.54, 6 Co 2.68-2.71
Co 0.5000 0.0000 0.5000  4 Ag 2.54, 6 Co 2.68-2.71
Ag 0.0000 0.5000 0.5000  4 Co 2.54, 4 W 2.68, 2 Ag 2.71
W 0.5000 0.5000 0.0000  4 Co 2.54, 4 Ag 2.68, 2 W 2.71

Values from the calculation:
The formation energy from the elements comes out at 681.0 meV per atom. Its space group is Pmmm. The calculation puts the energy above the most stable polymorph in this dataset at 286.3 meV per atom.

=====

DFT (GGA-PBEsol) results for a relaxed structure of Co2AgW.

Cell lengths 2.6852, 4.4335, 4.4335 Å; angles 103.55, 90.00, 90.00 degrees
With the nearest neighbours (Å) after each atom.
Positions (direct):
W 0.5000 0.0000 0.0000  8 Co 2.59, 2 W 2.69, 2 Ag 2.74
Co 0.0000 0.5000 0.0000  4 W 2.59, 4 Ag 2.59, 4 Co 2.69-2.74
Co 0.0000 0.0000 0.5000  4 Ag 2.59, 4 W 2.59, 4 Co 2.69-2.74
Ag 0.5000 0.5000 0.5000  8 Co 2.59, 2 Ag 2.69, 2 W 2.74

Values from the calculation:
The formation energy from the elements comes out at 394.7 meV per atom. Its space group is Cmmm. The calculation puts the energy above the most stable polymorph in this dataset at 0.0 meV per atom.

=====

DFT (GGA-PBEsol) results for a relaxed structure of CoAgW.

Cell lengths 4.1400, 4.1400, 4.1400 Å; angles 60.00, 60.00, 60.00 degrees
With the nearest neighbours (Å) after each atom.
Positions (direct):
Co 0.5000 0.5000 0.5000  4 W 2.54
Ag 0.0000 0.0000 0.0000  4 W 2.54
W 0.2500 0.2500 0.2500  4 Co 2.54, 4 Ag 2.54

Values from the calculation:
The formation energy from the elements comes out at 1318.9 meV per atom. Its space group is F-43m. The calculation puts the energy above the most stable polymorph in this dataset at 428.0 meV per atom.

=====

DFT (GGA-PBEsol) results for a relaxed structure of Co2AgW.

Cell lengths 2.6498, 3.7518, 5.2750 Å; angles 90.00, 90.00, 90.00 degrees
With the nearest neighbours (Å) after each atom.
Positions (direct):
Ag 0.5000 0.5000 0.7667  6 Co 2.56-2.71, 2 Ag 2.65, 4 W 2.81
Co 0.0000 0.0000 0.0205  1 W 2.32
Co 0.5000 0.5000 0.2522  4 W 2.55, 2 Ag 2.56-2.71, 6 Co 2.60-2.65
W 0.0000 0.0000 0.4606  5 Co 2.32-2.55

Values from the calculation:
The formation energy from the elements comes out at 396.4 meV per atom. Its space group is Pmm2. The calculation puts the energy above the most stable polymorph in this dataset at 1.7 meV per atom.

=====

DFT (GGA-PBEsol) results for a relaxed structure of CoAgW2.

Cell lengths 2.6933, 2.6933, 7.9585 Å; angles 90.00, 90.00, 90.00 degrees
With the nearest neighbours (Å) after each atom.
Positions (direct):
W 0.5000 0.5000 0.2477  8 W 2.69-2.93, 4 Ag 2.89
W 0.0000 0.0000 0.9678  4 Co 2.50, 4 W 2.69
Co 0.5000 0.5000 0.7642  4 W 2.50, 4 Co 2.69, 4 Ag 2.72
Ag 0.0000 0.0000 0.5202  4 Ag 2.69, 4 Co 2.72, 4 W 2.89

Values from the calculation:
The formation energy from the elements comes out at 339.7 meV per atom. Its space group is P4mm.

=====

Number 1: N(E_F) 6.54 states/eV per cell, DFT total energy -0.277 Ry per atom. Number 2: N(E_F) 6.74 states/eV per cell, DFT total energy -0.325 Ry per atom. Number 3: N(E_F) 6.01 states/eV per cell, DFT total energy -0.342 Ry per atom. Number 4: N(E_F) 4.49 states/eV per cell, DFT total energy -0.354 Ry per atom. Number 5: N(E_F) 6.54 states/eV per cell, DFT total energy -0.462 Ry per atom. Number 6: N(E_F) 4.94 states/eV per cell, DFT total energy -0.567 Ry per atom. Number 7: N(E_F) 5.81 states/eV per cell, DFT total energy -0.661 Ry per atom. Number 8: N(E_F) 5.90 states/eV per cell, DFT total energy -0.549 Ry per atom. Number 9: N(E_F) 4.74 states/eV per cell, DFT total energy -0.570 Ry per atom. Number 10: N(E_F) 3.71 states/eV per cell, DFT total energy -0.512 Ry per atom. Number 11: N(E_F) 5.21 states/eV per cell, DFT total energy -0.570 Ry per atom. Number 12: N(E_F) 4.71 states/eV per cell, DFT total energy -0.685 Ry per atom.